(1)
Computed, not measured: a relaxed Pm7Er12Tm crystal at the PBE level of DFT.

Results
Polymorph energy (0 for the lowest one) in eV per atom: 0.437
Energy of formation from the pure elements in eV/atom: 0.6703

Lattice parameters (Å, degrees): 9.7121 9.7121 9.7121 109.47 109.47 109.47
Closest atoms and distances in Å follow each position.
Sites, in units of the cell vectors:
Pm1 0.5000 0.5000 0.0000  12 Er 3.96-4.04
Pm2 0.0000 0.5000 0.5000  12 Er 3.96-4.04
Pm3 0.5000 0.0000 0.5000  12 Er 3.96-4.04
Pm4 0.5000 0.5000 0.5000  6 Er 2.80
Pm5 0.0000 0.0000 0.5000  6 Er 2.80
Pm6 0.5000 0.0000 0.0000  6 Er 2.80
Pm7 0.0000 0.5000 0.0000  6 Er 2.80
Er1 0.5089 0.7546 0.7543  2 Pm 2.80
Er2 0.0003 0.7546 0.2457  2 Pm 2.80
Er3 0.4911 0.2454 0.2457  2 Pm 2.80
Er4 0.9997 0.2454 0.7543  2 Pm 2.80
Er5 0.7543 0.9997 0.2454  2 Pm 2.80
Er6 0.7543 0.5089 0.7546  2 Pm 2.80
Er7 0.2457 0.0003 0.7546  2 Pm 2.80
Er8 0.2457 0.4911 0.2454  2 Pm 2.80
Er9 0.7546 0.7543 0.5089  2 Pm 2.80
Er10 0.2454 0.2457 0.4911  2 Pm 2.80
Er11 0.7546 0.2457 0.0003  2 Pm 2.80
Er12 0.2454 0.7543 0.9997  2 Pm 2.80
Tm1 0.0000 0.0000 0.0000  12 Er 3.89

(2)
Computed, not measured: a relaxed Pm9ErTm2 crystal at the PBE level of DFT.

Results
Energy of formation from the pure elements in eV/atom: 0.0163

Lattice parameters (Å, degrees): 5.1044 5.1044 15.3131 90.00 90.00 90.00
Closest atoms and distances in Å follow each position.
Sites, in units of the cell vectors:
Pm1 0.5000 0.5000 0.0000  4 Er 3.61, 8 Pm 3.61
Pm2 0.5000 0.5000 0.3336  8 Pm 3.61, 4 Tm 3.61
Pm3 0.5000 0.5000 0.6664  8 Pm 3.61, 4 Tm 3.61
Pm4 0.5000 0.0000 0.1670  2 Tm 3.61, 8 Pm 3.61, 2 Er 3.61
Pm5 0.5000 0.0000 0.5000  8 Pm 3.61, 4 Tm 3.61
Pm6 0.5000 0.0000 0.8330  2 Tm 3.61, 8 Pm 3.61, 2 Er 3.61
Pm7 0.0000 0.5000 0.1670  2 Tm 3.61, 8 Pm 3.61, 2 Er 3.61
Pm8 0.0000 0.5000 0.5000  8 Pm 3.61, 4 Tm 3.61
Pm9 0.0000 0.5000 0.8330  2 Tm 3.61, 8 Pm 3.61, 2 Er 3.61
Er1 0.0000 0.0000 0.0000  12 Pm 3.61
Tm1 0.0000 0.0000 0.3335  12 Pm 3.61
Tm2 0.0000 0.0000 0.6665  12 Pm 3.61